1.
Below is a relaxed SmDy2Tl crystal, with properties calculated at the GGA-PBE level.

a = 3.584 Å, b = 3.584 Å, c = 11.230 Å
α = 80.82°, β = 80.82°, γ = 60.00°
Element x y z (fractional)
Tl 0.000 0.000 0.000
Sm 0.500 0.500 0.500
Dy 0.254 0.254 0.237
Dy 0.746 0.746 0.763

Summary:
Total moment in μB per cell: 0.0
Crystal system: trigonal
ΔE to the lowest computed polymorph in meV per atom: 71
Space-group type: R-3m, No. 166
E_form in meV/atom: -113

2.
Below is a relaxed GdVZn4 crystal, with properties calculated at the GGA-PBE level.

a = 5.252 Å, b = 5.252 Å, c = 5.252 Å
α = 60.00°, β = 60.00°, γ = 60.00°
Element x y z (fractional)
Zn 0.624 0.624 0.128
Zn 0.624 0.128 0.624
Zn 0.624 0.624 0.624
Zn 0.128 0.624 0.624
Gd 0.000 0.000 0.000
V 0.250 0.250 0.250

Summary:
Total moment in μB per cell: 10.1
Crystal system: cubic
Space-group type: F-43m, No. 216
E_form in meV/atom: -153

3.
Below is a relaxed Ca2Tl crystal, with properties calculated at the GGA-PBE level.

a = 5.489 Å, b = 5.489 Å, c = 3.806 Å
α = 90.00°, β = 90.00°, γ = 120.00°
Element x y z (fractional)
Tl 0.667 0.333 0.333
Ca 0.000 0.000 0.058
Ca 0.333 0.667 0.609

Summary:
Total moment in μB per cell: 0.0
Crystal system: trigonal
Space-group type: P-3m1, No. 164
E_form in meV/atom: -231

4.
Below is a relaxed Nb6V5Tc crystal, with properties calculated at the GGA-PBE level.

a = 4.512 Å, b = 6.343 Å, c = 7.079 Å
α = 90.00°, β = 108.59°, γ = 90.00°
Element x y z (fractional)
Nb 0.834 0.750 0.667
Nb 0.834 0.250 0.667
Nb 0.500 0.250 0.000
Nb 0.500 0.750 0.000
Nb 0.166 0.750 0.333
Nb 0.166 0.250 0.333
Tc 0.000 0.000 0.000
V 0.667 0.500 0.332
V 0.330 0.000 0.660
V 0.000 0.500 0.000
V 0.670 0.000 0.340
V 0.333 0.500 0.668

Summary:
Total moment in μB per cell: 0.0
Crystal system: orthorhombic
Space-group type: Cmmm, No. 65
E_form in meV/atom: -45

5.
Below is a relaxed SrCuPb3 crystal, with properties calculated at the GGA-PBE level.

a = 5.399 Å, b = 5.399 Å, c = 5.399 Å
α = 90.00°, β = 90.00°, γ = 90.00°
Element x y z (fractional)
Pb 0.000 0.500 0.000
Pb 0.000 0.000 0.500
Pb 0.500 0.000 0.000
Sr 0.500 0.500 0.500
Cu 0.000 0.000 0.000

Summary:
Total moment in μB per cell: 0.0
Crystal system: cubic
ΔE to the lowest computed polymorph in meV per atom: 0
Space-group type: Pm-3m, No. 221
E_form in meV/atom: -50

6.
Below is a relaxed La4PmP5 crystal, with properties calculated at the GGA-PBE level.

a = 6.008 Å, b = 7.358 Å, c = 7.358 Å
α = 80.41°, β = 65.91°, γ = 65.91°
Element x y z (fractional)
La 0.402 0.399 0.800
La 0.800 0.800 0.601
La 0.202 0.200 0.399
La 0.600 0.601 0.200
Pm 0.001 0.000 0.000
P 0.902 0.395 0.802
P 0.297 0.802 0.605
P 0.705 0.198 0.395
P 0.100 0.605 0.198
P 0.501 0.000 0.000

Summary:
Total moment in μB per cell: 0.0
Crystal system: tetragonal
Space-group type: I4/m, No. 87
E_form in meV/atom: -1571

7.
Below is a relaxed Zn2FeOs crystal, with properties calculated at the GGA-PBE level.

a = 8.820 Å, b = 8.820 Å, c = 8.820 Å
α = 17.61°, β = 17.61°, γ = 17.61°
Element x y z (fractional)
Fe 0.250 0.250 0.250
Os 0.750 0.750 0.750
Zn 0.998 0.998 0.998
Zn 0.502 0.502 0.502

Summary:
Total moment in μB per cell: 2.5
Crystal system: trigonal
ΔE to the lowest computed polymorph in meV per atom: 97
Space-group type: R-3m, No. 166
E_form in meV/atom: 158

8.
Below is a relaxed LaC3 crystal, with properties calculated at the GGA-PBE level.

a = 5.659 Å, b = 5.174 Å, c = 5.174 Å
α = 120.00°, β = 90.00°, γ = 90.00°
Element x y z (fractional)
La 0.750 0.167 0.833
La 0.250 0.833 0.167
C 0.250 0.979 0.740
C 0.250 0.260 0.021
C 0.250 0.260 0.740
C 0.750 0.021 0.260
C 0.750 0.740 0.979
C 0.750 0.740 0.260

Summary:
Total moment in μB per cell: 0.0
Crystal system: hexagonal
ΔE to the lowest computed polymorph in meV per atom: 170
Space-group type: P6_3/mmc, No. 194
E_form in meV/atom: 571

9.
Below is a relaxed Mg2Al3Ga4 crystal, with properties calculated at the GGA-PBE level.

a = 5.551 Å, b = 8.634 Å, c = 7.705 Å
α = 90.00°, β = 111.11°, γ = 90.00°
Element x y z (fractional)
Mg 0.109 0.556 0.218
Mg 0.891 0.444 0.782
Mg 0.391 0.056 0.782
Mg 0.609 0.944 0.218
Al 0.000 0.000 0.000
Al 0.500 0.500 0.000
Al 0.520 0.750 0.539
Al 0.980 0.250 0.461
Al 0.480 0.250 0.461
Al 0.020 0.750 0.539
Ga 0.707 0.750 0.913
Ga 0.793 0.250 0.087
Ga 0.293 0.250 0.087
Ga 0.207 0.750 0.913
Ga 0.185 0.975 0.369
Ga 0.815 0.025 0.631
Ga 0.315 0.475 0.631
Ga 0.685 0.525 0.369

Summary:
Total moment in μB per cell: 0.0
Crystal system: orthorhombic
ΔE to the lowest computed polymorph in meV per atom: 0
Space-group type: Cmce, No. 64
E_form in meV/atom: -14

10.
Below is a relaxed Cd2TeI2 crystal, with properties calculated at the GGA-PBE level.

a = 9.114 Å, b = 9.114 Å, c = 3.833 Å
α = 90.00°, β = 90.00°, γ = 90.00°
Element x y z (fractional)
I 0.355 0.855 0.000
I 0.855 0.645 0.000
I 0.645 0.145 0.000
I 0.145 0.355 0.000
Te 0.000 0.000 0.000
Te 0.500 0.500 0.000
Cd 0.156 0.656 0.500
Cd 0.656 0.844 0.500
Cd 0.844 0.344 0.500
Cd 0.344 0.156 0.500

Summary:
Total moment in μB per cell: 0.0
Crystal system: tetragonal
ΔE to the lowest computed polymorph in meV per atom: 567
Space-group type: P4/mbm, No. 127
Uncorrected formation energy in meV per atom: 190

11.
Below is a relaxed DyPu4S6 crystal, with properties calculated at the GGA-PBE level.

a = 3.873 Å, b = 6.813 Å, c = 19.999 Å
α = 90.00°, β = 90.00°, γ = 106.51°
Element x y z (fractional)
Dy 0.651 0.302 0.250
Dy 0.349 0.698 0.750
Pu 0.863 0.725 0.541
Pu 0.408 0.815 0.131
Pu 0.137 0.275 0.459
Pu 0.592 0.185 0.869
Pu 0.863 0.725 0.959
Pu 0.137 0.275 0.041
Pu 0.592 0.185 0.631
Pu 0.408 0.815 0.369
S 0.500 0.000 0.000
S 0.500 0.000 0.500
S 0.050 0.100 0.331
S 0.950 0.900 0.669
S 0.950 0.900 0.831
S 0.050 0.100 0.169
S 0.772 0.543 0.413
S 0.228 0.457 0.587
S 0.228 0.457 0.913
S 0.772 0.543 0.087
S 0.301 0.602 0.250
S 0.699 0.398 0.750

Summary:
Total moment in μB per cell: 0.0
Crystal system: orthorhombic
Space-group type: Cmcm, No. 63
Uncorrected formation energy in meV per atom: -1733

12.
Below is a relaxed NdAgSn2 crystal, with properties calculated at the GGA-PBE level.

a = 3.450 Å, b = 3.450 Å, c = 10.998 Å
α = 80.98°, β = 80.98°, γ = 60.00°
Element x y z (fractional)
Nd 0.000 0.000 0.000
Sn 0.099 0.099 0.704
Sn 0.901 0.901 0.296
Ag 0.500 0.500 0.500

Summary:
Total moment in μB per cell: 0.0
Crystal system: trigonal
Space-group type: R-3m, No. 166
E_form in meV/atom: 79

no.,density of states at the Fermi level (states/eV/cell)
1,4.2
2,3.9
3,2.8
4,20.6
5,2.5
6,1.3
7,4.5
8,2.7
9,6.8
10,6.3
11,85.7
12,3.8